A geometry-optimized Mg2Sc2Sb structure. Source: the Alexandria database, functional PBE.

The theoretical density comes out at 3.67 Mg/m³. As for the formation energy without anion corrections: -0.15 eV per atom. The magnetization comes out at 0.00 μB per atom. The energy above the most stable polymorph in this dataset comes out at 4 meV per atom. As for the total energy: -4.1485 eV/atom. The value obtained for the density of states at the Fermi level is 6.859 states/eV/cell.

The space group is P4/mbm (No. 127) and the conventional cell measures 7.269, 7.269 and 4.454 Å, with angles of 90.00, 90.00 and 90.00 degrees. The distinct sites, in fractional coordinates, are Mg at (0.134, 0.366, 0.000), Sc at (0.161, 0.661, 0.500) and Sb at (0.000, 0.000, 0.000).